An optimized crystal structure of LaTb2Se. Source: Alexandria, functional PBE-GGA.

Output
Uncorrected formation energy (eV/atom): -0.8056
Spin magnetization (μB per formula unit): 0.00
V (Å³/atom): 30.85
VASP energy (eV per atom): -5.224
E above lowest polymorph (meV/atom): 0

Cell: 3.8311 3.8311 29.1203 Å, 90.00 90.00 120.00°
Space group R3m (No. 160, hexagonal axes)
Asymmetric unit:
La: 0.0000 0.0000 0.0000 [3 per cell]
Tb: 0.0000 0.0000 0.2296 [3 per cell]
Tb: 0.0000 0.0000 0.4368 [3 per cell]
Se: 0.0000 0.0000 0.8331 [3 per cell]